DFT (PBE) results for crystalline CsTaCr3 at its relaxed geometry.

Cell: 5.0973 5.0973 5.0973 Å, 90.00 90.00 90.00°
With the nearest neighbours (Å) after each atom.
Positions (direct):
Cs: 0.5000 0.5000 0.5000  12 Cr 3.60
Cr: 0.0000 0.5000 0.0000  2 Ta 2.55
Cr: 0.0000 0.0000 0.5000  2 Ta 2.55
Cr: 0.5000 0.0000 0.0000  2 Ta 2.55
Ta: 0.0000 0.0000 0.0000  6 Cr 2.55

Computed properties:
As for the formation energy: 1.608 eV per atom. Its space group is Pm-3m. As for the distance to the lowest polymorph of the same formula: 0.000 eV per atom. The calculation puts the theoretical density at 5.89 g/cm³. The calculation puts the total magnetization at 1.97 μB per atom.